# 1
Compound: SmPaB4
Source: Alexandria via LeMat-Bulk
Functional: PBE-GGA
Structure: optimized geometry

Unit cell a=4.824 b=4.824 c=4.824 alpha=60.00 beta=60.00 gamma=60.00
Element x y z (fractional)
Sm 0.000 0.000 0.000
Pa 0.750 0.750 0.750
B 0.409 0.409 0.409
B 0.409 0.409 0.774
B 0.409 0.774 0.409
B 0.774 0.409 0.409

## Properties
Formation enthalpy at 0 K, eV/atom: 0.339
Distance to the lowest polymorph of the same formula, eV/atom: 0.831
Size of the total moment, μB/atom: 0.000

# 2
Compound: SmPaB4
Source: Alexandria via LeMat-Bulk
Functional: PBE-GGA
Structure: optimized geometry

Unit cell a=5.202 b=5.202 c=5.202 alpha=143.59 beta=113.76 gamma=78.01
Element x y z (fractional)
Sm 0.000 0.000 0.000
Pa 0.500 0.500 0.000
B 0.083 0.752 0.331
B 0.421 0.752 0.669
B 0.579 0.248 0.331
B 0.917 0.248 0.669

## Properties
Formation enthalpy at 0 K, eV/atom: -0.492
Distance to the lowest polymorph of the same formula, eV/atom: 0.000
Size of the total moment, μB/atom: 0.000